First-principles (PBE+U) data for crystalline VHg2AsF at its relaxed geometry, as listed in Alexandria.

Computed properties:
SG: P4/mmm (123)
total DFT energy (no corrections): -12.190 eV for the cell shown

Structure (POSCAR):
```
VHg2AsF
1.0
5.420 0.000 0.000
0.000 4.026 0.000
0.000 0.000 5.420
As F Hg V
1 1 2 1
Direct
0.000 0.000 0.000 As
0.000 0.500 0.000 F
0.000 0.000 0.500 Hg
0.500 0.000 0.000 Hg
0.500 0.500 0.500 V
```